Here is crystalline ThBr4 at its relaxed geometry from Alexandria via LeMat-Bulk. Energies are from GGA-PBEsol.

a b c (Å): 7.4426 7.4426 7.4426
angles (deg): 106.53 106.53 115.54
Fractional positions:
Br1 0.9250 0.2398 0.3148
Br2 0.8602 0.6750 0.1852
Br3 0.3898 0.0750 0.3148
Br4 0.3250 0.5102 0.1852
Br5 0.3250 0.1398 0.8148
Br6 0.7602 0.0750 0.6852
Br7 0.9250 0.6102 0.6852
Br8 0.4898 0.6750 0.8148
Th1 0.2500 0.7500 0.5000
Th2 0.0000 0.0000 0.0000

Properties
The value obtained for the uncorrected formation energy is -1.7062 eV per atom.



Here is crystalline ThBr4 at its relaxed geometry from Alexandria via LeMat-Bulk. Energies are from GGA-PBEsol.

a b c (Å): 6.7618 6.7618 8.2629
angles (deg): 114.15 114.15 90.00
Fractional positions:
Br1 0.5881 0.1456 0.8497
Br2 0.9541 0.3381 0.3497
Br3 0.6619 0.6044 0.6503
Br4 0.8544 0.7384 0.1503
Br5 0.3956 0.0116 0.3497
Br6 0.9884 0.0459 0.6503
Br7 0.2959 0.4119 0.1503
Br8 0.2616 0.7041 0.8497
Th1 0.0000 0.0000 0.0000
Th2 0.2500 0.7500 0.5000

Properties
The value obtained for the uncorrected formation energy is -1.7236 eV per atom.



Here is crystalline TlBr at its relaxed geometry from Alexandria via LeMat-Bulk. Energies are from GGA-PBEsol.

a b c (Å): 4.4493 4.4493 8.0858
angles (deg): 90.00 90.00 120.00
Fractional positions:
Tl1 0.6667 0.3333 0.7500
Tl2 0.3333 0.6667 0.2500
Br1 0.0000 0.0000 0.0000
Br2 0.0000 0.0000 0.5000

Properties
The value obtained for the uncorrected formation energy is -0.7494 eV per atom.



Here is crystalline TlBr at its relaxed geometry from Alexandria via LeMat-Bulk. Energies are from GGA-PBEsol.

a b c (Å): 5.4640 5.4640 7.2987
angles (deg): 68.02 68.02 60.00
Fractional positions:
Tl1 0.0871 0.0871 0.7388
Tl2 0.9129 0.9129 0.2612
Br1 0.2414 0.2414 0.2757
Br2 0.7586 0.7586 0.7243

Properties
The value obtained for the uncorrected formation energy is -0.6757 eV per atom.



Here is crystalline TlBr at its relaxed geometry from Alexandria via LeMat-Bulk. Energies are from GGA-PBEsol.

a b c (Å): 4.6233 4.6233 4.6233
angles (deg): 60.00 60.00 60.00
Fractional positions:
Tl1 0.5000 0.5000 0.5000
Br1 0.0000 0.0000 0.0000

Properties
The value obtained for the uncorrected formation energy is -0.7673 eV per atom.



Here is crystalline TlBr at its relaxed geometry from Alexandria via LeMat-Bulk. Energies are from GGA-PBEsol.

a b c (Å): 4.8146 6.3745 8.2924
angles (deg): 90.00 90.00 90.00
Fractional positions:
Br1 0.7500 0.8524 0.1827
Br2 0.2500 0.3524 0.3173
Br3 0.7500 0.6476 0.6827
Br4 0.2500 0.1476 0.8173
Tl1 0.7500 0.3078 0.0584
Tl2 0.2500 0.8078 0.4416
Tl3 0.7500 0.1922 0.5584
Tl4 0.2500 0.6922 0.9416

Properties
The value obtained for the uncorrected formation energy is -0.7676 eV per atom.